Entry 1:
The following is a PBE calculation of an optimized crystal structure of Ce2Zn2Rh3, from Alexandria via LeMat-Bulk.

The space group is C2/m (No. 12) and the conventional cell measures 9.5484, 4.1830 and 6.7234 Å, with angles of 90.00, 102.80 and 90.00 degrees. The distinct sites, in fractional coordinates, are Ce at (0.1232, 0.0000, 0.3005), Zn at (0.1191, 0.5000, 0.9258), Rh at (0.0000, 0.5000, 0.5000) and Rh at (0.1791, 0.0000, 0.7339).

As for the energy above the most stable polymorph in this dataset: 0 meV per atom. For the mass density, the calculation gives 9.1 g/cm³. The crystal system is monoclinic. The total energy comes out at -81.8 eV/cell. The formation energy comes out at -4.41 eV/f.u.

---

Entry 2:
The following is a PBE calculation of an optimized crystal structure of CeZn3Rh, from Alexandria via LeMat-Bulk.

The space group is P2_1/m (No. 11) and the conventional cell measures 4.9352, 6.2967 and 5.8971 Å, with angles of 90.00, 99.08 and 90.00 degrees. The distinct sites, in fractional coordinates, are Ce at (0.1665, 0.2500, 0.1608), Zn at (0.1780, 0.7500, 0.3833), Zn at (0.3276, 0.0476, 0.6738) and Rh at (0.3409, 0.7500, 0.9800).

For the mass density, the calculation gives 8.1 g/cm³. The crystal system is monoclinic. The total energy comes out at -38.8 eV/cell. The formation energy comes out at -2.29 eV/f.u.

---

Entry 3:
The following is a PBE calculation of an optimized crystal structure of Ce2ZnRh, from Alexandria via LeMat-Bulk.

The space group is P4/mmm (No. 123) and the conventional cell measures 3.6701, 3.6701 and 6.5566 Å, with angles of 90.00, 90.00 and 90.00 degrees. The distinct sites, in fractional coordinates, are Ce at (0.0000, 0.0000, 0.2252), Zn at (0.5000, 0.5000, 0.5000) and Rh at (0.5000, 0.5000, 0.0000).

For the mass density, the calculation gives 8.4 g/cm³. The crystal system is tetragonal. The total energy comes out at -22.3 eV/cell. The formation energy comes out at -1.79 eV/f.u.

---

Entry 4:
The following is a PBE calculation of an optimized crystal structure of CeZn5Rh2, from Alexandria via LeMat-Bulk.

The space group is Immm (No. 71) and the conventional cell measures 3.7109, 8.0652 and 9.1485 Å, with angles of 90.00, 90.00 and 90.00 degrees. The distinct sites, in fractional coordinates, are Ce at (0.0000, 0.0000, 0.0000), Zn at (0.0000, 0.1862, 0.3488), Zn at (0.0000, 0.5000, 0.0000) and Rh at (0.0000, 0.5000, 0.2825).

For the mass density, the calculation gives 8.2 g/cm³. The crystal system is orthorhombic. The total energy comes out at -60.5 eV/cell. The formation energy comes out at -3.23 eV/f.u.

---

M_tot, respectively: 0.00; 0.23; 0.23; 0.00 Bohr magnetons per cell.